{
  "formula": "K2CaFe2",
  "functional": "meta-GGA SCAN",
  "state": "single point on PBEsol structure",
  "ef_ev_per_atom": 0.846,
  "dos_at_fermi_per_ev_fu": 4.8,
  "m_tot_mub_per_cell": 5.80,
  "lattice_angstrom": [[-1.049, -2.819, 3.410], [-0.527, -3.400, -2.973], [7.801, 1.384, 0.512]],
  "species": ["Ca", "K", "Fe", "Fe", "K"],
  "fractional_positions": [[0.000, 0.000, 0.000], [0.250, 0.750, 0.500], [0.430, 0.430, 0.860], [0.570, 0.570, 0.140], [0.750, 0.250, 0.500]]
}

***

{
  "formula": "YFe3Se",
  "functional": "meta-GGA SCAN",
  "state": "single point on PBEsol structure",
  "dos_at_fermi_per_ev_fu": 5.0,
  "m_tot_mub_per_cell": 6.91,
  "lattice_angstrom": [[4.615, 0.000, 0.000], [0.000, 4.615, 0.000], [0.000, 0.000, 4.615]],
  "species": ["Se", "Y", "Fe", "Fe", "Fe"],
  "fractional_positions": [[0.500, 0.500, 0.500], [0.000, 0.000, 0.000], [0.500, 0.000, 0.000], [0.000, 0.500, 0.000], [0.000, 0.000, 0.500]]
}

***

{
  "formula": "NaLaNb2H",
  "functional": "meta-GGA SCAN",
  "state": "single point on PBEsol structure",
  "dos_at_fermi_per_ev_fu": 4.3,
  "m_tot_mub_per_cell": 1.82,
  "lattice_angstrom": [[-1.109, -4.373, -1.374], [2.767, -1.766, 3.387], [-4.364, -0.012, 3.560]],
  "species": ["Nb", "Nb", "H", "Na", "La"],
  "fractional_positions": [[0.500, 0.000, 0.000], [0.000, 0.500, 0.000], [0.500, 0.500, 0.500], [0.000, 0.000, 0.000], [0.000, 0.000, 0.500]]
}

***

{
  "formula": "Ba2IrPt",
  "functional": "meta-GGA SCAN",
  "state": "single point on PBEsol structure",
  "ef_ev_per_atom": 0.034,
  "dos_at_fermi_per_ev_fu": 1.6,
  "m_tot_mub_per_cell": 1.00,
  "lattice_angstrom": [[-0.966, -3.934, -1.775], [3.861, -1.601, 1.448], [-2.727, -1.743, 5.347]],
  "species": ["Ba", "Pt", "Ir", "Ba"],
  "fractional_positions": [[0.000, 0.000, 0.500], [0.500, 0.500, 0.500], [0.000, 0.000, 0.000], [0.500, 0.500, 0.000]]
}

***

{
  "formula": "LiMgCu2",
  "functional": "meta-GGA SCAN",
  "state": "single point on PBEsol structure",
  "ef_ev_per_atom": -0.036,
  "dos_at_fermi_per_ev_fu": 1.2,
  "m_tot_mub_per_cell": 0.00,
  "lattice_angstrom": [[-2.015, 0.341, -1.819], [0.144, -4.239, -0.955], [-3.127, -0.852, 3.310]],
  "species": ["Cu", "Cu", "Li", "Mg"],
  "fractional_positions": [[0.875, 0.000, 0.974], [0.875, 0.500, 0.288], [0.376, 0.000, 0.439], [0.374, 0.500, 0.798]]
}

***

{
  "formula": "Ta2InCo",
  "functional": "meta-GGA SCAN",
  "state": "single point on PBEsol structure",
  "ef_ev_per_atom": 0.258,
  "dos_at_fermi_per_ev_fu": 2.3,
  "m_tot_mub_per_cell": 2.12,
  "lattice_angstrom": [[3.906, 0.000, 0.000], [0.000, 3.906, 0.000], [-1.953, -1.953, 4.291]],
  "species": ["Co", "Ta", "Ta", "In"],
  "fractional_positions": [[0.500, 0.500, 0.000], [0.750, 0.250, 0.500], [0.000, 0.000, 0.000], [0.250, 0.750, 0.500]]
}

***

{
  "formula": "AsSeCl",
  "functional": "meta-GGA SCAN",
  "state": "single point on PBEsol structure",
  "dos_at_fermi_per_ev_fu": 2.1,
  "m_tot_mub_per_cell": 0.39,
  "lattice_angstrom": [[3.475, 0.000, 0.000], [1.737, 3.840, 0.000], [1.737, 0.000, 6.391]],
  "species": ["Cl", "As", "Se"],
  "fractional_positions": [[0.647, 0.000, 0.706], [0.992, 0.000, 0.016], [0.361, 0.000, 0.278]]
}

***

{
  "formula": "MnAl2Rh",
  "functional": "meta-GGA SCAN",
  "state": "single point on PBEsol structure",
  "ef_ev_per_atom": -0.723,
  "dos_at_fermi_per_ev_fu": 2.1,
  "m_tot_mub_per_cell": 3.26,
  "lattice_angstrom": [[2.835, 0.000, 0.000], [0.000, 4.282, 0.050], [-1.417, -1.440, 4.343]],
  "species": ["Al", "Rh", "Al", "Mn"],
  "fractional_positions": [[0.758, 0.295, 0.515], [0.249, 0.790, 0.499], [0.991, 0.954, 0.983], [0.502, 0.461, 0.003]]
}

***

{
  "formula": "TlCrAg2",
  "functional": "meta-GGA SCAN",
  "state": "single point on PBEsol structure",
  "ef_ev_per_atom": 0.263,
  "dos_at_fermi_per_ev_fu": 1.7,
  "m_tot_mub_per_cell": 3.95,
  "lattice_angstrom": [[2.984, 0.000, -0.010], [0.000, 4.855, 0.000], [-0.284, 0.000, 4.991]],
  "species": ["Tl", "Cr", "Ag", "Ag"],
  "fractional_positions": [[0.000, 0.500, 0.500], [0.500, 0.500, 0.000], [0.750, 0.000, 0.762], [0.250, 0.000, 0.238]]
}

***

{
  "formula": "AlTlPb2",
  "functional": "meta-GGA SCAN",
  "state": "single point on PBEsol structure",
  "ef_ev_per_atom": 0.098,
  "dos_at_fermi_per_ev_fu": 1.6,
  "m_tot_mub_per_cell": 0.00,
  "lattice_angstrom": [[3.465, 0.000, 0.000], [1.732, 3.001, 0.000], [1.732, 1.000, 10.304]],
  "species": ["Al", "Tl", "Pb", "Pb"],
  "fractional_positions": [[0.000, 0.000, 0.000], [0.500, 0.500, 0.500], [0.741, 0.741, 0.778], [0.259, 0.259, 0.222]]
}

***

{
  "formula": "SnPbAu3",
  "functional": "meta-GGA SCAN",
  "state": "single point on PBEsol structure",
  "ef_ev_per_atom": 0.646,
  "dos_at_fermi_per_ev_fu": 2.8,
  "m_tot_mub_per_cell": 0.00,
  "lattice_angstrom": [[5.190, 0.000, 0.000], [0.000, 5.190, 0.000], [0.000, 0.000, 5.190]],
  "species": ["Au", "Sn", "Au", "Au", "Pb"],
  "fractional_positions": [[0.000, 0.500, 0.000], [0.500, 0.500, 0.500], [0.000, 0.000, 0.500], [0.500, 0.000, 0.000], [0.000, 0.000, 0.000]]
}

***

{
  "formula": "NiSbOs2",
  "functional": "meta-GGA SCAN",
  "state": "single point on PBEsol structure",
  "dos_at_fermi_per_ev_fu": 3.8,
  "m_tot_mub_per_cell": 0.00,
  "lattice_angstrom": [[2.855, 0.000, 0.000], [0.000, 4.559, 0.000], [0.000, 0.000, 4.573]],
  "species": ["Os", "Sb", "Os", "Ni"],
  "fractional_positions": [[0.500, 0.500, 0.000], [0.500, 0.000, 0.500], [0.000, 0.000, 0.000], [0.000, 0.500, 0.500]]
}

***

{
  "formula": "SrMnFe2",
  "functional": "meta-GGA SCAN",
  "state": "single point on PBEsol structure",
  "ef_ev_per_atom": 0.651,
  "dos_at_fermi_per_ev_fu": 5.7,
  "m_tot_mub_per_cell": 5.86,
  "lattice_angstrom": [[3.049, 0.000, 0.000], [0.000, 3.049, 0.000], [0.000, 0.000, 6.883]],
  "species": ["Mn", "Fe", "Sr", "Fe"],
  "fractional_positions": [[0.500, 0.500, 0.000], [0.000, 0.000, 0.839], [0.500, 0.500, 0.500], [0.000, 0.000, 0.161]]
}

***

{
  "formula": "SrLaBi2Ir",
  "functional": "meta-GGA SCAN",
  "state": "single point on PBEsol structure",
  "ef_ev_per_atom": 1.589,
  "dos_at_fermi_per_ev_fu": 2.8,
  "m_tot_mub_per_cell": 2.42,
  "lattice_angstrom": [[5.568, 0.000, 0.000], [0.000, 5.671, 0.000], [0.000, 0.000, 5.671]],
  "species": ["Bi", "Bi", "La", "Sr", "Ir"],
  "fractional_positions": [[0.000, 0.500, 0.000], [0.000, 0.000, 0.500], [0.500, 0.000, 0.000], [0.000, 0.000, 0.000], [0.500, 0.500, 0.500]]
}

***

{
  "formula": "SrTa2Au",
  "functional": "meta-GGA SCAN",
  "state": "single point on PBEsol structure",
  "ef_ev_per_atom": 0.431,
  "dos_at_fermi_per_ev_fu": 3.7,
  "m_tot_mub_per_cell": 0.75,
  "lattice_angstrom": [[-2.443, -0.784, -2.015], [0.169, -2.726, -1.785], [-4.980, -6.018, 5.738]],
  "species": ["Au", "Ta", "Sr", "Ta"],
  "fractional_positions": [[0.489, 0.489, 0.533], [0.750, 0.750, 0.750], [0.246, 0.246, 0.261], [0.015, 0.015, 0.956]]
}

***

{
  "formula": "Tl2CF",
  "functional": "meta-GGA SCAN",
  "state": "single point on PBEsol structure",
  "dos_at_fermi_per_ev_fu": 2.1,
  "m_tot_mub_per_cell": 0.00,
  "lattice_angstrom": [[-2.587, 3.248, -1.709], [-2.192, -0.674, -3.860], [-4.467, -0.452, 0.005]],
  "species": ["C", "Tl", "F", "Tl"],
  "fractional_positions": [[0.000, 0.000, 0.000], [0.750, 0.750, 0.750], [0.500, 0.500, 0.500], [0.250, 0.250, 0.250]]
}

***

{
  "formula": "Si5As",
  "functional": "meta-GGA SCAN",
  "state": "single point on PBEsol structure",
  "dos_at_fermi_per_ev_fu": 2.7,
  "m_tot_mub_per_cell": 0.00,
  "lattice_angstrom": [[4.443, 0.000, 0.000], [0.000, 4.967, 0.000], [0.000, -2.483, 4.301]],
  "species": ["As", "Si", "Si", "Si", "Si", "Si"],
  "fractional_positions": [[0.000, 0.000, 0.000], [0.500, 0.500, 0.000], [0.500, 0.500, 0.500], [0.000, 0.333, 0.667], [0.500, 0.000, 0.500], [0.000, 0.667, 0.333]]
}

***

{
  "formula": "Tl3InS",
  "functional": "meta-GGA SCAN",
  "state": "single point on PBEsol structure",
  "dos_at_fermi_per_ev_fu": 3.9,
  "m_tot_mub_per_cell": 0.00,
  "lattice_angstrom": [[-4.347, -3.258, -0.677], [0.747, -2.040, 5.025], [-3.243, 3.898, 2.064]],
  "species": ["Tl", "Tl", "Tl", "In", "S"],
  "fractional_positions": [[0.000, 0.500, 0.000], [0.500, 0.000, 0.000], [0.000, 0.000, 0.500], [0.500, 0.500, 0.500], [0.000, 0.000, 0.000]]
}

***

{
  "formula": "YMnP2Rh",
  "functional": "meta-GGA SCAN",
  "state": "single point on PBEsol structure",
  "ef_ev_per_atom": 1.408,
  "dos_at_fermi_per_ev_fu": 5.1,
  "m_tot_mub_per_cell": 2.99,
  "lattice_angstrom": [[-2.621, 3.759, -1.340], [0.889, -1.077, -4.760], [-4.050, -2.863, -0.109]],
  "species": ["P", "Y", "P", "Mn", "Rh"],
  "fractional_positions": [[0.000, 0.500, 0.000], [0.000, 0.000, 0.000], [0.000, 0.000, 0.500], [0.500, 0.000, 0.000], [0.500, 0.500, 0.500]]
}

***

{
  "formula": "Au3C",
  "functional": "meta-GGA SCAN",
  "state": "single point on PBEsol structure",
  "ef_ev_per_atom": 1.481,
  "dos_at_fermi_per_ev_fu": 1.5,
  "m_tot_mub_per_cell": 0.00,
  "lattice_angstrom": [[4.093, 0.000, 0.000], [-2.046, 4.181, 0.023], [0.000, 1.984, 3.580]],
  "species": ["Au", "C", "Au", "Au"],
  "fractional_positions": [[0.250, 0.500, 0.250], [0.000, 0.000, 0.000], [0.500, 0.000, 0.500], [0.750, 0.500, 0.750]]
}

***

These records have total DFT energy (no corrections) values of -11.670, -18.609, -21.157, -55.064, -9.476, -45.706, -16.067, -17.606, -38.106, -57.820, -63.189, -48.594, -18.546, -57.139, -55.719, -39.054, -10.952, -51.744, -18.725, -52.912 eV/atom, in the order they appear.